Ta2MnTl | PBE-GGA | optimized geometry

```
Ta2MnTl
1.0
-1.9590 1.9590 9.8562
1.9590 -1.9590 9.8562
1.9590 1.9590 -9.8562
Ta Mn Tl
4 2 2
direct
0.1167 0.6250 0.9917 Ta
0.3750 0.3667 0.4917 Ta
0.6333 0.1250 0.0083 Ta
0.8750 0.8833 0.5083 Ta
0.0000 0.0000 0.0000 Mn
0.7500 0.2500 0.5000 Mn
0.2500 0.7500 0.5000 Tl
0.5000 0.5000 0.0000 Tl
```

Properties
The density of states at the Fermi level is 7.351 states/eV/f.u. Its energy of formation is 1.059 eV per atom. As for the space-group type: No. 122. The value obtained for the mass density is 13.636 Mg/m³. The energy above the most stable polymorph in this dataset comes out at 825 meV/atom.